[1]
The following is a DFT calculation (GGA-PBE) of crystalline Pm6Nd5Sc2 at its relaxed geometry.

E_tot = -4.86 eV/atom
energy relative to the elements = 0.14 eV/atom
DOS at the Fermi energy = 36.68 states/eV per cell

a = 10.905 Å, b = 22.776 Å, c = 3.541 Å
α = 90.00°, β = 90.00°, γ = 90.00°
Atoms (fractional coordinates):
Pm  0.029  0.113  0.000
Pm  0.139  0.382  0.000
Pm  0.165  0.640  0.500
Pm  0.335  0.140  0.500
Pm  0.361  0.882  0.000
Pm  0.471  0.613  0.000
Pm  0.529  0.387  0.000
Pm  0.639  0.118  0.000
Pm  0.665  0.860  0.500
Pm  0.835  0.360  0.500
Pm  0.861  0.618  0.000
Pm  0.971  0.887  0.000
Nd  0.000  0.500  0.500
Nd  0.086  0.248  0.500
Nd  0.167  0.993  0.500
Nd  0.333  0.493  0.500
Nd  0.414  0.748  0.500
Nd  0.500  0.000  0.500
Nd  0.586  0.252  0.500
Nd  0.667  0.507  0.500
Nd  0.833  0.007  0.500
Nd  0.914  0.752  0.500
Sc  0.165  0.771  0.000
Sc  0.335  0.271  0.000
Sc  0.665  0.729  0.000
Sc  0.835  0.229  0.000

---

[2]
The following is a DFT calculation (GGA-PBE) of crystalline Pm2Nd12Sc at its relaxed geometry.

E_tot = -4.53 eV/atom
energy relative to the elements = 0.34 eV/atom
DOS at the Fermi energy = 41.46 states/eV per cell

a = 6.700 Å, b = 6.700 Å, c = 24.442 Å
α = 90.00°, β = 90.00°, γ = 90.00°
Atoms (fractional coordinates):
Pm  0.250  0.750  0.245
Pm  0.250  0.750  0.755
Pm  0.750  0.250  0.245
Pm  0.750  0.250  0.755
Nd  0.002  0.502  0.099
Nd  0.002  0.998  0.901
Nd  0.083  0.583  0.564
Nd  0.083  0.917  0.436
Nd  0.250  0.250  0.202
Nd  0.250  0.250  0.330
Nd  0.250  0.250  0.670
Nd  0.250  0.250  0.798
Nd  0.417  0.583  0.436
Nd  0.417  0.917  0.564
Nd  0.498  0.502  0.901
Nd  0.498  0.998  0.099
Nd  0.502  0.002  0.901
Nd  0.502  0.498  0.099
Nd  0.583  0.083  0.436
Nd  0.583  0.417  0.564
Nd  0.750  0.750  0.202
Nd  0.750  0.750  0.330
Nd  0.750  0.750  0.670
Nd  0.750  0.750  0.798
Nd  0.917  0.083  0.564
Nd  0.917  0.417  0.436
Nd  0.998  0.002  0.099
Nd  0.998  0.498  0.901
Sc  0.250  0.750  0.000
Sc  0.750  0.250  0.000

---

[3]
The following is a DFT calculation (GGA-PBE) of crystalline Pm3NdSc2 at its relaxed geometry.

E_tot = -5.01 eV/atom
energy relative to the elements = 0.27 eV/atom
DOS at the Fermi energy = 20.52 states/eV per cell

a = 8.768 Å, b = 8.768 Å, c = 5.508 Å
α = 90.00°, β = 90.00°, γ = 68.58°
Atoms (fractional coordinates):
Pm  0.097  0.903  0.750
Pm  0.108  0.370  0.250
Pm  0.370  0.108  0.750
Pm  0.630  0.892  0.250
Pm  0.892  0.630  0.750
Pm  0.903  0.097  0.250
Nd  0.268  0.732  0.250
Nd  0.732  0.268  0.750
Sc  0.306  0.485  0.750
Sc  0.485  0.306  0.250
Sc  0.515  0.694  0.750
Sc  0.694  0.515  0.250

---

- Which of these has the lowest energy relative to the elements?
  Pm6Nd5Sc2

---

- Look up the DOS at the Fermi energy of the first one.
  36.68 states/eV per cell

---

- What is the energy relative to the elements in the third record?
  0.27 eV/atom

---

- The lowest E_tot belongs to which entry?
  Pm3NdSc2